[1]
# Pm2Tm3Pb

A relaxed Pm2Tm3Pb crystal (PBE, Alexandria via LeMat-Bulk).

The structure belongs to space group Cmmm (No. 65); the cell edges are 4.8506, 15.2024 and 4.9298 Å and the angles 90.00°, 90.00° and 90.00°. The distinct sites, in fractional coordinates, are Pm at (0.0000, 0.1613, 0.0000), Tm at (0.0000, 0.0000, 0.5000), Tm at (0.0000, 0.3321, 0.5000) and Pb at (0.0000, 0.5000, 0.0000).

The calculation puts the energy of formation from the pure elements at -0.99 eV per formula unit. The calculation puts the total energy at -4.602 eV/atom. Its calculated volume is 363.53 Å³/cell. As for the crystal system: orthorhombic.

=====

[2]
# PmTmPb2

A relaxed PmTmPb2 crystal (PBE, Alexandria via LeMat-Bulk).

The structure belongs to space group R3m (No. 160, hexagonal axes); the cell edges are 4.7773, 4.7773 and 20.1934 Å and the angles 90.00°, 90.00° and 120.00°. The distinct sites, in fractional coordinates, are Pm at (0.0000, 0.0000, 0.0000), Tm at (0.0000, 0.0000, 0.8227), Pb at (0.0000, 0.0000, 0.4165) and Pb at (0.0000, 0.0000, 0.5754).

The calculation puts the energy of formation from the pure elements at -1.30 eV per formula unit. The calculation puts the total energy at -4.486 eV/atom. Its calculated volume is 399.13 Å³/cell. As for the crystal system: trigonal.

=====

[3]
# PmTm2Pb

A relaxed PmTm2Pb crystal (PBE, Alexandria via LeMat-Bulk).

The structure belongs to space group P2_1/m (No. 11); the cell edges are 6.8215, 5.2498 and 6.8244 Å and the angles 90.00°, 103.68° and 90.00°. The distinct sites, in fractional coordinates, are Pm at (0.1115, 0.2500, 0.4006), Tm at (0.1503, 0.2500, 0.9233), Tm at (0.3667, 0.7500, 0.2333) and Pb at (0.3826, 0.7500, 0.7294).

The calculation puts the energy of formation from the pure elements at -1.10 eV per formula unit. The calculation puts the total energy at -4.626 eV/atom. Its calculated volume is 237.47 Å³/cell. The energy above the most stable polymorph in this dataset is 34 meV per atom. As for the crystal system: monoclinic.

=====

[4]
# PmTm4Pb5

A relaxed PmTm4Pb5 crystal (PBE, Alexandria via LeMat-Bulk).

The structure belongs to space group I4 (No. 79); the cell edges are 9.9151, 9.9151 and 6.2745 Å and the angles 90.00°, 90.00° and 90.00°. The distinct sites, in fractional coordinates, are Pm at (0.0000, 0.0000, 0.0000), Tm at (0.1043, 0.2968, 0.5017), Pb at (0.0000, 0.0000, 0.4999) and Pb at (0.0981, 0.3072, 0.0018).

The calculation puts the energy of formation from the pure elements at -2.84 eV per formula unit. The calculation puts the total energy at -4.402 eV/atom. Its calculated volume is 616.85 Å³/cell. The energy above the most stable polymorph in this dataset is 113 meV per atom. As for the crystal system: tetragonal.

=====

[5]
# Pm3Tm3Pb2

A relaxed Pm3Tm3Pb2 crystal (PBE, Alexandria via LeMat-Bulk).

The structure belongs to space group Pmmm (No. 47); the cell edges are 4.8540, 4.8681 and 9.8731 Å and the angles 90.00°, 90.00° and 90.00°. The distinct sites, in fractional coordinates, are Pm at (0.0000, 0.0000, 0.0000), Pm at (0.0000, 0.0000, 0.5000), Pm at (0.5000, 0.5000, 0.0000), Tm at (0.5000, 0.0000, 0.2526), Tm at (0.5000, 0.5000, 0.5000) and Pb at (0.0000, 0.5000, 0.2531).

The calculation puts the energy of formation from the pure elements at -2.27 eV per formula unit. The calculation puts the total energy at -4.669 eV/atom. Its calculated volume is 233.30 Å³/cell. As for the crystal system: orthorhombic.

=====

[6]
# Pm6Tm8Pb

A relaxed Pm6Tm8Pb crystal (PBE, Alexandria via LeMat-Bulk).

The structure belongs to space group P-3 (No. 147); the cell edges are 9.2964, 9.2964 and 6.6556 Å and the angles 90.00°, 90.00° and 120.00°. The distinct sites, in fractional coordinates, are Pm at (0.0811, 0.6848, 0.4003), Tm at (0.0193, 0.3344, 0.1026), Tm at (0.3333, 0.6667, 0.8253) and Pb at (0.0000, 0.0000, 0.5000).

The calculation puts the energy of formation from the pure elements at 2.79 eV per formula unit. The calculation puts the total energy at -4.346 eV/atom. Its calculated volume is 498.14 Å³/cell. As for the crystal system: trigonal.

=====

[7]
# Pm3TmPb2

A relaxed Pm3TmPb2 crystal (PBE, Alexandria via LeMat-Bulk).

The structure belongs to space group P-4m2 (No. 115); the cell edges are 4.6343, 4.6343 and 8.7794 Å and the angles 90.00°, 90.00° and 90.00°. The distinct sites, in fractional coordinates, are Pm at (0.0000, 0.0000, 0.0000), Pm at (0.0000, 0.5000, 0.6556), Tm at (0.5000, 0.5000, 0.0000) and Pb at (0.0000, 0.5000, 0.2816).

The calculation puts the energy of formation from the pure elements at -2.61 eV per formula unit. The calculation puts the total energy at -4.791 eV/atom. Its calculated volume is 188.55 Å³/cell. As for the crystal system: tetragonal.

=====

[8]
# Pm6TmPb6

A relaxed Pm6TmPb6 crystal (PBE, Alexandria via LeMat-Bulk).

The structure belongs to space group P6/mmm (No. 191); the cell edges are 7.4302, 7.4302 and 9.3575 Å and the angles 90.00°, 90.00° and 120.00°. The distinct sites, in fractional coordinates, are Pm at (0.0000, 0.5000, 0.2484), Tm at (0.0000, 0.0000, 0.5000), Pb at (0.0000, 0.0000, 0.1684), Pb at (0.3333, 0.6667, 0.0000) and Pb at (0.3333, 0.6667, 0.5000).

The calculation puts the energy of formation from the pure elements at -3.30 eV per formula unit. The calculation puts the total energy at -4.502 eV/atom. Its calculated volume is 447.35 Å³/cell. As for the crystal system: hexagonal.

=====

[9]
# PmTmPb

A relaxed PmTmPb crystal (PBE, Alexandria via LeMat-Bulk).

The structure belongs to space group Cmcm (No. 63); the cell edges are 3.4513, 17.4811 and 6.0543 Å and the angles 90.00°, 90.00° and 90.00°. The distinct sites, in fractional coordinates, are Pm at (0.0000, 0.1773, 0.2500), Tm at (0.0000, 0.0000, 0.0000) and Pb at (0.0000, 0.3601, 0.2500).

The calculation puts the energy of formation from the pure elements at -0.55 eV per formula unit. The calculation puts the total energy at -4.493 eV/atom. Its calculated volume is 365.27 Å³/cell. The energy above the most stable polymorph in this dataset is 267 meV per atom. As for the crystal system: orthorhombic.

=====

[10]
# Pm2TmPb9

A relaxed Pm2TmPb9 crystal (PBE, Alexandria via LeMat-Bulk).

The structure belongs to space group P4/mmm (No. 123); the cell edges are 4.9056, 4.9056 and 14.6688 Å and the angles 90.00°, 90.00° and 90.00°. The distinct sites, in fractional coordinates, are Pm at (0.0000, 0.0000, 0.1672), Tm at (0.0000, 0.0000, 0.5000), Pb at (0.0000, 0.5000, 0.0000), Pb at (0.0000, 0.5000, 0.3372), Pb at (0.5000, 0.5000, 0.1686) and Pb at (0.5000, 0.5000, 0.5000).

The calculation puts the energy of formation from the pure elements at -3.75 eV per formula unit. The calculation puts the total energy at -4.258 eV/atom. Its calculated volume is 353.00 Å³/cell. As for the crystal system: tetragonal.

=====

[11]
# PmTmPb2

A relaxed PmTmPb2 crystal (PBE, Alexandria via LeMat-Bulk).

The structure belongs to space group P4/mmm (No. 123); the cell edges are 4.0665, 4.0665 and 6.9729 Å and the angles 90.00°, 90.00° and 90.00°. The distinct sites, in fractional coordinates, are Pm at (0.0000, 0.0000, 0.0000), Tm at (0.0000, 0.0000, 0.5000) and Pb at (0.5000, 0.5000, 0.2628).

The calculation puts the energy of formation from the pure elements at -1.64 eV per formula unit. The calculation puts the total energy at -4.568 eV/atom. Its calculated volume is 115.31 Å³/cell. As for the crystal system: tetragonal.

=====

[12]
# PmTmPb

A relaxed PmTmPb crystal (PBE, Alexandria via LeMat-Bulk).

The structure belongs to space group P4/nmm (No. 129, origin choice 2); the cell edges are 4.6054, 4.6054 and 8.6814 Å and the angles 90.00°, 90.00° and 90.00°. The distinct sites, in fractional coordinates, are Pm at (0.2500, 0.2500, 0.1568), Tm at (0.2500, 0.7500, 0.5000) and Pb at (0.2500, 0.2500, 0.7761).

The calculation puts the energy of formation from the pure elements at -1.31 eV per formula unit. The calculation puts the total energy at -4.747 eV/atom. Its calculated volume is 184.13 Å³/cell. The energy above the most stable polymorph in this dataset is 14 meV per atom. As for the crystal system: tetragonal.

=====

Question: Which value of calculated volume does entry 2 give?
Answer: 399.13 Å³/cell

=====

Question: Which value of calculated volume does entry 3 give?
Answer: 237.47 Å³/cell

=====

Question: energy of formation from the pure elements of number 2 (PmTmPb2)?
Answer: -1.30 eV per formula unit

=====

Question: Which formula does entry 7 have?
Answer: Pm3TmPb2